PmPuInRh | GGA-PBE | relaxed

Magnetic moment: 5.44 μB/cell
Calculated total energy: -7.56 eV per atom
Symmetry: No. 216
Calculated volume: 97.64 Å³ per cell
N(E_F): 9.3 states/eV/f.u.
Energy of formation: -25.6 kJ per mole of atoms

Lattice parameters (Å, degrees): 5.169 5.169 5.169 60.00 60.00 60.00
Atoms (fractional coordinates):
Pm 0.000 0.000 0.000
Pu 0.500 0.500 0.500
In 0.250 0.250 0.250
Rh 0.750 0.750 0.750

Tl2InSe2 | GGA-PBE | relaxed

Magnetic moment: 0.00 μB/cell
Calculated total energy: -3.10 eV per atom
Symmetry: No. 127
Calculated volume: 304.56 Å³ per cell
N(E_F): 3.4 states/eV/f.u.
ΔE_f (raw): -0.211 eV per atom
Relative energy among the computed polymorphs: 152 meV/atom

Lattice parameters (Å, degrees): 7.989 7.989 4.772 90.00 90.00 90.00
Atoms (fractional coordinates):
Tl 0.140 0.360 0.000
Tl 0.360 0.860 0.000
Tl 0.640 0.140 0.000
Tl 0.860 0.640 0.000
In 0.000 0.000 0.500
In 0.500 0.500 0.500
Se 0.183 0.683 0.500
Se 0.317 0.183 0.500
Se 0.683 0.817 0.500
Se 0.817 0.317 0.500

ZrRuS2N | GGA-PBE | relaxed

Magnetic moment: 0.00 μB/cell
Calculated total energy: -6.93 eV per atom
Symmetry: No. 123
Calculated volume: 83.06 Å³ per cell
N(E_F): 3.4 states/eV/f.u.
ΔE_f (raw): -0.049 eV per atom
Relative energy among the computed polymorphs: 0 meV/atom

Lattice parameters (Å, degrees): 4.768 4.768 3.654 90.00 90.00 90.00
Atoms (fractional coordinates):
Zr 0.000 0.000 0.000
Ru 0.500 0.500 0.500
S 0.000 0.500 0.500
S 0.500 0.000 0.500
N 0.500 0.500 0.000

N(E_F) of number 2 (Tl2InSe2)?
3.4 states/eV/f.u.